1.
Density functional theory data (GGA-PBE) for a geometry-optimized PuFeCo structure.

abc: 4.9646 4.9646 4.9646
angles: 116.26 115.91 96.93
With the nearest neighbours (Å) after each atom.
Atoms (fractional coordinates):
Pu1 0.3747 0.1247 0.2500  6 Fe 2.79-3.06, 6 Co 2.80-3.05, 4 Pu 3.10
Pu2 0.6253 0.8753 0.7500  6 Fe 2.79-3.06, 6 Co 2.80-3.05, 4 Pu 3.10
Fe1 0.0000 0.0000 0.5000  4 Co 2.48, 2 Fe 2.62
Fe2 0.0000 0.5000 0.0000  4 Co 2.48, 2 Fe 2.62
Co1 0.0000 0.5000 0.5000  4 Fe 2.48, 2 Co 2.63
Co2 0.5000 0.5000 0.0000  4 Fe 2.48, 2 Co 2.63

Computed properties:
For the relative energy among the computed polymorphs, the calculation gives 0 meV per atom. Its crystal system is orthorhombic. The space group is Imma, No. 74.

2.
Density functional theory data (GGA-PBE) for a geometry-optimized Hf3TiBr structure.

abc: 4.8828 4.8828 4.8828
angles: 90.00 90.00 90.00
With the nearest neighbours (Å) after each atom.
Atoms (fractional coordinates):
Hf1 0.0000 0.0000 0.5000  2 Br 2.44
Hf2 0.0000 0.5000 0.0000  2 Br 2.44
Hf3 0.5000 0.0000 0.0000  2 Br 2.44
Ti1 0.5000 0.5000 0.5000  12 Hf 3.45
Br1 0.0000 0.0000 0.0000  6 Hf 2.44

Computed properties:
For the relative energy among the computed polymorphs, the calculation gives 0 meV per atom. Its formation energy without anion corrections is 308 kJ/mol of formula units. Its crystal system is cubic. The space group is Pm-3m, No. 221.

3.
Density functional theory data (GGA-PBE) for a geometry-optimized LiU4Ga12 structure.

abc: 7.4642 7.4642 7.4642
angles: 109.47 109.47 109.47
With the nearest neighbours (Å) after each atom.
Atoms (fractional coordinates):
Li1 0.0000 0.0000 0.0000  6 Ga 2.50
U1 0.0000 0.0000 0.5000  12 Ga 3.05-3.07
U2 0.0000 0.5000 0.0000  12 Ga 3.05-3.07
U3 0.5000 0.0000 0.0000  12 Ga 3.05-3.07
U4 0.5000 0.5000 0.5000  12 Ga 3.05-3.07
Ga1 0.0000 0.2904 0.2904  1 Li 2.50
Ga2 0.0000 0.7096 0.7096  1 Li 2.50
Ga3 0.2500 0.5000 0.7500  8 Ga 2.81-3.05, 4 U 3.05
Ga4 0.2500 0.7500 0.5000  8 Ga 2.81-3.05, 4 U 3.05
Ga5 0.2904 0.0000 0.2904  1 Li 2.50
Ga6 0.2904 0.2904 0.0000  1 Li 2.50
Ga7 0.5000 0.2500 0.7500  8 Ga 2.81-3.05, 4 U 3.05
Ga8 0.5000 0.7500 0.2500  8 Ga 2.81-3.05, 4 U 3.05
Ga9 0.7096 0.0000 0.7096  1 Li 2.50
Ga10 0.7096 0.7096 0.0000  1 Li 2.50
Ga11 0.7500 0.2500 0.5000  8 Ga 2.81-3.05, 4 U 3.05
Ga12 0.7500 0.5000 0.2500  8 Ga 2.81-3.05, 4 U 3.05

Computed properties:
The raw total energy is -5.132 eV/atom. Its crystal system is cubic. The space group is Im-3m, No. 229.

4.
Density functional theory data (GGA-PBE) for a geometry-optimized Sc2PaO6 structure.

abc: 5.7080 5.7080 6.8617
angles: 118.56 118.56 39.78
With the nearest neighbours (Å) after each atom.
Atoms (fractional coordinates):
Sc1 0.1768 0.1768 0.1068  6 O 2.07-2.18
Sc2 0.8232 0.8232 0.8932  6 O 2.07-2.18
Pa1 0.0000 0.0000 0.5000  6 O 2.13-2.28
O1 0.0256 0.0256 0.2114  2 Sc 2.08-2.16, 1 Pa 2.13
O2 0.2482 0.2482 0.8604  3 Sc 2.07-2.18
O3 0.3707 0.3707 0.4180  1 Sc 2.09, 2 Pa 2.28
O4 0.6293 0.6293 0.5820  1 Sc 2.09, 2 Pa 2.28
O5 0.7518 0.7518 0.1396  3 Sc 2.07-2.18
O6 0.9744 0.9744 0.7886  2 Sc 2.08-2.16, 1 Pa 2.13

Computed properties:
For the relative energy among the computed polymorphs, the calculation gives 8 meV per atom. Its formation energy without anion corrections is -2816 kJ/mol of formula units. Its crystal system is monoclinic. The space group is C2/m, No. 12.

5.
Density functional theory data (GGA-PBE) for a geometry-optimized NbZnO2F structure.

abc: 3.9954 3.9954 4.3159
angles: 90.00 90.00 90.00
With the nearest neighbours (Å) after each atom.
Atoms (fractional coordinates):
Nb1 0.0000 0.0000 0.0000  4 O 2.00, 2 F 2.16
Zn1 0.5000 0.5000 0.5000  4 F 2.83, 8 O 2.94
O1 0.0000 0.5000 0.0000  2 Nb 2.00
O2 0.5000 0.0000 0.0000  2 Nb 2.00
F1 0.0000 0.0000 0.5000  2 Nb 2.16

Computed properties:
Its formation energy without anion corrections is -830 kJ/mol of formula units. Its crystal system is tetragonal. The space group is P4/mmm, No. 123.

6.
Density functional theory data (GGA-PBE) for a geometry-optimized FeCoS2 structure.

abc: 6.0677 6.0677 6.0677
angles: 131.77 131.77 70.59
With the nearest neighbours (Å) after each atom.
Atoms (fractional coordinates):
Fe1 0.0000 0.0000 0.0000  4 S 2.14
Fe2 0.7500 0.2500 0.5000  4 S 2.14
Co1 0.2500 0.7500 0.5000  4 S 2.16
Co2 0.5000 0.5000 0.0000  4 S 2.16
S1 0.1216 0.6250 0.9966  2 Fe 2.14, 2 Co 2.16
S2 0.3750 0.3716 0.4966  2 Fe 2.14, 2 Co 2.16
S3 0.6284 0.1250 0.0034  2 Fe 2.14, 2 Co 2.16
S4 0.8750 0.8784 0.5034  2 Fe 2.14, 2 Co 2.16

Computed properties:
For the relative energy among the computed polymorphs, the calculation gives 202 meV per atom. Its formation energy without anion corrections is -119 kJ/mol of formula units. Its crystal system is tetragonal. The space group is I-42d, No. 122.

7.
Density functional theory data (GGA-PBE) for a geometry-optimized GaRu2S structure.

abc: 6.3679 6.3679 6.3679
angles: 128.13 128.13 76.42
With the nearest neighbours (Å) after each atom.
Atoms (fractional coordinates):
Ga1 0.0000 0.0000 0.0000  4 Ru 2.48
Ga2 0.7500 0.2500 0.5000  4 Ru 2.48
Ru1 0.1659 0.6250 0.0409  2 S 2.20
Ru2 0.3750 0.4159 0.5409  2 S 2.20
Ru3 0.5841 0.1250 0.9591  2 S 2.20
Ru4 0.8750 0.8341 0.4591  2 S 2.20
S1 0.2500 0.7500 0.5000  4 Ru 2.20
S2 0.5000 0.5000 0.0000  4 Ru 2.20

Computed properties:
Its formation energy without anion corrections is 89 kJ/mol of formula units. Its crystal system is tetragonal. The space group is I-42d, No. 122.

8.
Density functional theory data (GGA-PBE) for a geometry-optimized CsLaBr3 structure.

abc: 8.2889 8.2889 7.0155
angles: 90.00 90.00 120.06
With the nearest neighbours (Å) after each atom.
Atoms (fractional coordinates):
Cs1 0.1669 0.8331 0.7500  12 Br 4.14-4.19
Cs2 0.8331 0.1669 0.2500  12 Br 4.14-4.19
La1 0.5000 0.5000 0.0000  6 Br 3.04
La2 0.5000 0.5000 0.5000  6 Br 3.04
Br1 0.1533 0.3270 0.7500  2 La 3.04
Br2 0.3270 0.1533 0.2500  2 La 3.04
Br3 0.3269 0.6731 0.2500  2 La 3.04
Br4 0.6731 0.3269 0.7500  2 La 3.04
Br5 0.6730 0.8467 0.7500  2 La 3.04
Br6 0.8467 0.6730 0.2500  2 La 3.04

Computed properties:
For the relative energy among the computed polymorphs, the calculation gives 15 meV per atom. Its formation energy without anion corrections is -857 kJ/mol of formula units. Its crystal system is orthorhombic. The space group is Cmcm, No. 63.

9.
Density functional theory data (GGA-PBE) for a geometry-optimized NbGeO3 structure.

abc: 3.7857 3.7857 3.7857
angles: 90.00 90.00 90.00
With the nearest neighbours (Å) after each atom.
Atoms (fractional coordinates):
Nb1 0.0000 0.0000 0.0000  12 O 2.68
Ge1 0.5000 0.5000 0.5000  6 O 1.89
O1 0.0000 0.5000 0.5000  2 Ge 1.89
O2 0.5000 0.0000 0.5000  2 Ge 1.89
O3 0.5000 0.5000 0.0000  2 Ge 1.89

Computed properties:
Its formation energy without anion corrections is -384 kJ/mol of formula units. Its crystal system is cubic. The space group is Pm-3m, No. 221.

10.
Density functional theory data (GGA-PBE) for a geometry-optimized MnP2Se structure.

abc: 3.4501 3.4501 7.0892
angles: 90.00 90.00 90.00
With the nearest neighbours (Å) after each atom.
Atoms (fractional coordinates):
Mn1 0.0000 0.0000 0.0000  4 Se 2.44
P1 0.0000 0.5000 0.5000  4 P 2.44
P2 0.5000 0.0000 0.5000  4 P 2.44
Se1 0.5000 0.5000 0.0000  4 Mn 2.44

Computed properties:
Its formation energy without anion corrections is 116 kJ/mol of formula units. Its crystal system is tetragonal. The space group is P4/mmm, No. 123.

11.
Density functional theory data (GGA-PBE) for a geometry-optimized YCr2P structure.

abc: 9.0323 9.0323 9.0323
angles: 153.62 153.62 37.65
With the nearest neighbours (Å) after each atom.
Atoms (fractional coordinates):
Y1 0.0000 0.0000 0.0000  4 P 2.91, 4 Cr 2.96
Y2 0.7500 0.2500 0.5000  4 P 2.91, 4 Cr 2.96
Cr1 0.3051 0.1250 0.6801  2 Cr 2.14, 2 P 2.39
Cr2 0.3750 0.6949 0.8199  2 Cr 2.14, 2 P 2.39
Cr3 0.4449 0.6250 0.3199  2 Cr 2.14, 2 P 2.39
Cr4 0.8750 0.5551 0.1801  2 Cr 2.14, 2 P 2.39
P1 0.2500 0.7500 0.5000  4 Cr 2.39
P2 0.5000 0.5000 0.0000  4 Cr 2.39

Computed properties:
The raw total energy is -7.726 eV/atom. Its crystal system is tetragonal. The space group is I-42d, No. 122.

12.
Density functional theory data (GGA-PBE) for a geometry-optimized Tl2ZnTe structure.

abc: 8.0692 8.0692 8.0692
angles: 30.54 30.54 30.54
With the nearest neighbours (Å) after each atom.
Atoms (fractional coordinates):
Tl1 0.0000 0.0000 0.0000  3 Zn 3.02
Tl2 0.2295 0.2295 0.2295  3 Te 3.31, 3 Tl 3.43
Zn1 0.7432 0.7432 0.7432  3 Te 2.78, 3 Tl 3.02
Te1 0.4664 0.4664 0.4664  3 Zn 2.78

Computed properties:
For the relative energy among the computed polymorphs, the calculation gives 3 meV per atom. Its formation energy without anion corrections is -31 kJ/mol of formula units. Its crystal system is trigonal. The space group is R3m, No. 160.

| no. | total magnetization (μB/f.u.) |
| --- | --- |
| 1 | 2.12 |
| 2 | 0.00 |
| 3 | 9.38 |
| 4 | 0.55 |
| 5 | 0.00 |
| 6 | 0.35 |
| 7 | 0.00 |
| 8 | 0.00 |
| 9 | 2.80 |
| 10 | 4.32 |
| 11 | 1.49 |
| 12 | 0.00 |